DFT (PBE) results for crystalline KTlBr2F at its relaxed geometry.

Values from the calculation:
Uncorrected formation energy in kJ per mole of atoms: -133
Calculated density in g/cm3: 4.35
DFT total energy in eV per atom: -3.118

Lattice parameters (Å, degrees): 5.8645 5.8645 4.6856 90.00 90.00 90.00
With the nearest neighbours (Å) after each atom.
Space group P4/mmm (No. 123)
Inequivalent atoms, fractional coordinates:
K: 0.0000 0.0000 0.0000 [1 per cell]  8 Br 3.75, 4 F 4.15
Tl: 0.5000 0.5000 0.5000 [1 per cell]  2 F 2.34
Br: 0.0000 0.5000 0.5000 [2 per cell]  2 Tl 2.93
F: 0.5000 0.5000 0.0000 [1 per cell]  2 Tl 2.34

---

DFT (PBE) results for crystalline LaCrAu2 at its relaxed geometry.

Values from the calculation:
ΔE_f in meV/atom: -350
Calculated density in g/cm3: 10.50
DFT total energy in eV per atom: -5.627
Offset from the most stable computed form in kcal/mol of atoms: 0.00

Lattice parameters (Å, degrees): 4.6844 4.6844 14.5979 90.00 90.00 120.00
With the nearest neighbours (Å) after each atom.
Space group R-3m (No. 166, hexagonal axes)
Inequivalent atoms, fractional coordinates:
La: 0.0000 0.0000 0.0000 [3 per cell]  8 Au 3.14-3.21
Cr: 0.0000 0.0000 0.5000 [3 per cell]  6 Au 2.80
Au: 0.0000 0.0000 0.2153 [6 per cell]  3 Cr 2.80, 3 Au 3.05

---

DFT total energy of number 1 (KTlBr2F)? -3.118 eV per atom